BeSi2Cl: PBEsol geometry, meta-GGA SCAN.

Geometry as POSCAR:
```
BeSi2Cl
1.0
2.879 0.000 0.000
0.000 2.879 0.000
0.000 0.000 6.895
Be Si Cl
1 2 1
Cartesian
1.440 1.440 0.000
0.000 0.000 5.466
0.000 0.000 1.429
1.440 1.440 3.447
```

DOS at the Fermi energy   1.2 states/eV/f.u.
Energy relative to the lowest polymorph listed for this composition   0 meV per atom